Computed, not measured: a relaxed structure of La2CrAg2 at the PBE level of DFT.

Values from the calculation:
V (Å³/f.u.): 134.31
Energy above the lowest structure with this stoichiometry (kJ/mol of formula units): 0
Energy of formation from the pure elements (eV/f.u.): 1.1

Cell and atoms, written as CIF:
```
data_La2CrAg2
_space_group_name_H-M_alt 'I 4/m m m'
_space_group_IT_number 139
_space_group_name_Hall '-I 4 2'
_cell_length_a 3.845
_cell_length_b 3.845
_cell_length_c 18.167
_cell_angle_alpha 90.00
_cell_angle_beta 90.00
_cell_angle_gamma 90.00
loop_
_atom_site_label
_atom_site_type_symbol
_atom_site_fract_x
_atom_site_fract_y
_atom_site_fract_z
_atom_site_occupancy
La1 La 0.000 0.000 0.100 1
Cr1 Cr 0.000 0.000 0.500 1
Ag1 Ag 0.000 0.500 0.250 1
```



Computed, not measured: a relaxed structure of Ac5HoIr4 at the PBE level of DFT.

Values from the calculation:
V (Å³/f.u.): 333.43
Energy above the lowest structure with this stoichiometry (kJ/mol of formula units): 78
Energy of formation from the pure elements (eV/f.u.): -4.9

Cell and atoms, written as CIF:
```
data_Ac5HoIr4
_space_group_name_H-M_alt 'P m m n'
_space_group_IT_number 59
_cell_length_a 9.035
_cell_length_b 10.071
_cell_length_c 7.329
_cell_angle_alpha 90.00
_cell_angle_beta 90.00
_cell_angle_gamma 90.00
loop_
_space_group_symop_operation_xyz
'x,y,z'
'-x,-y,-z'
'-x+1/2,-y+1/2,z'
'x+1/2,y+1/2,-z'
'x+1/2,-y,-z'
'-x+1/2,y,z'
'-x,y+1/2,-z'
'x,-y+1/2,z'
loop_
_atom_site_label
_atom_site_type_symbol
_atom_site_fract_x
_atom_site_fract_y
_atom_site_fract_z
_atom_site_occupancy
Ac1 Ac 0.007 0.054 0.244 1
Ac2 Ac 0.250 0.250 0.706 1
Ho1 Ho 0.250 0.750 0.318 1
Ir1 Ir 0.017 0.750 0.071 1
Ir2 Ir 0.250 0.506 0.504 1
```



Computed, not measured: a relaxed structure of Tl6CdSn2 at the PBE level of DFT.

Values from the calculation:
V (Å³/f.u.): 265.97
Energy above the lowest structure with this stoichiometry (kJ/mol of formula units): 9
Energy of formation from the pure elements (eV/f.u.): 0.4

Cell and atoms, written as CIF:
```
data_Tl6CdSn2
_space_group_name_H-M_alt 'C 1 2/m 1'
_space_group_IT_number 12
_space_group_name_Hall '-C 2y'
_cell_length_a 9.337
_cell_length_b 5.393
_cell_length_c 10.563
_cell_angle_alpha 90.00
_cell_angle_beta 90.04
_cell_angle_gamma 90.00
loop_
_atom_site_label
_atom_site_type_symbol
_atom_site_fract_x
_atom_site_fract_y
_atom_site_fract_z
_atom_site_occupancy
Tl1 Tl 0.000 0.000 0.171 1
Tl2 Tl 0.166 0.500 0.602 1
Tl3 Tl 0.167 0.500 0.269 1
Cd1 Cd 0.000 0.000 0.500 1
Sn1 Sn 0.167 0.500 0.944 1
```



Computed, not measured: a relaxed structure of YFe2Os2 at the PBE level of DFT.

Values from the calculation:
V (Å³/f.u.): 74.44
Energy above the lowest structure with this stoichiometry (kJ/mol of formula units): 83
Energy of formation from the pure elements (eV/f.u.): 1.1

Cell and atoms, written as CIF:
```
data_YFe2Os2
_space_group_name_H-M_alt 'P 4/m b m'
_space_group_IT_number 127
_space_group_name_Hall '-P 4 2ab'
_cell_length_a 7.437
_cell_length_b 7.437
_cell_length_c 2.692
_cell_angle_alpha 90.00
_cell_angle_beta 90.00
_cell_angle_gamma 90.00
loop_
_atom_site_label
_atom_site_type_symbol
_atom_site_fract_x
_atom_site_fract_y
_atom_site_fract_z
_atom_site_occupancy
Y1 Y 0.000 0.000 0.000 1
Fe1 Fe 0.169 0.331 0.500 1
Os1 Os 0.124 0.624 0.000 1
```



Computed, not measured: a relaxed structure of TaInPb2 at the PBE level of DFT.

Values from the calculation:
V (Å³/f.u.): 100.03
Energy of formation from the pure elements (eV/f.u.): 2.1

Cell and atoms, written as CIF:
```
data_TaInPb2
_space_group_name_H-M_alt 'P 1 2/m 1'
_space_group_IT_number 10
_space_group_name_Hall '-P 2y'
_cell_length_a 3.244
_cell_length_b 5.000
_cell_length_c 6.237
_cell_angle_alpha 90.00
_cell_angle_beta 98.64
_cell_angle_gamma 90.00
loop_
_atom_site_label
_atom_site_type_symbol
_atom_site_fract_x
_atom_site_fract_y
_atom_site_fract_z
_atom_site_occupancy
Ta1 Ta 0.000 0.000 0.000 1
In1 In 0.000 0.000 0.500 1
Pb1 Pb 0.417 0.500 0.238 1
```



Computed, not measured: a relaxed structure of La4NdH8 at the PBE level of DFT.

Values from the calculation:
Total DFT energy (no corrections) (eV per atom): -4.1833
V (Å³/f.u.): 221.77

Cell and atoms, written as CIF:
```
data_La4NdH8
_space_group_name_H-M_alt 'P m -3 m'
_space_group_IT_number 221
_space_group_name_Hall '-P 4 2 3'
_cell_length_a 6.053
_cell_length_b 6.053
_cell_length_c 6.053
_cell_angle_alpha 90.00
_cell_angle_beta 90.00
_cell_angle_gamma 90.00
loop_
_atom_site_label
_atom_site_type_symbol
_atom_site_fract_x
_atom_site_fract_y
_atom_site_fract_z
_atom_site_occupancy
La1 La 0.000 0.000 0.000 1
La2 La 0.000 0.500 0.500 1
Nd1 Nd 0.500 0.500 0.500 1
H1 H 0.266 0.266 0.266 1
```



The highest V belongs to which entry? Ac5HoIr4



Among the records above, which one has the lowest V? YFe2Os2



Which formula does entry 1 have? La2CrAg2